YMoPb2 | PBE | relaxed

Calculated values
electronic total energy	-5.91	eV/atom
DOS at the Fermi energy	3.19	states/eV per cell
crystal system	tetragonal
formation energy	0.269	eV/atom

abc: 3.6926 3.6926 7.3385
angles: 90.00 90.00 90.00
Sites, in units of the cell vectors:
Mo1 0.5000 0.5000 0.7754
Pb1 0.0000 0.0000 0.9522
Pb2 0.5000 0.5000 0.2410
Y1 0.0000 0.0000 0.5313


Ac5SnGe2 | PBE | relaxed

Calculated values
electronic total energy	-4.83	eV/atom
DOS at the Fermi energy	16.43	states/eV per cell
crystal system	tetragonal
formation energy	-0.612	eV/atom

abc: 8.6720 8.6720 9.6456
angles: 116.71 116.71 90.00
Sites, in units of the cell vectors:
Ac1 0.1986 0.0195 0.7181
Ac2 0.9805 0.4805 0.2819
Ac3 0.3014 0.8014 0.2819
Ac4 0.0000 0.0000 0.0000
Ac5 0.0195 0.5195 0.7181
Ac6 0.4805 0.3014 0.2819
Ac7 0.6986 0.1986 0.7181
Ac8 0.8014 0.9805 0.2819
Ac9 0.5195 0.6986 0.7181
Ac10 0.5000 0.5000 0.0000
Ge1 0.6420 0.1420 0.0000
Ge2 0.3580 0.8580 0.0000
Ge3 0.1420 0.3580 0.0000
Ge4 0.8580 0.6420 0.0000
Sn1 0.2500 0.2500 0.5000
Sn2 0.7500 0.7500 0.5000


Pm3Pr8Tl2 | PBE | relaxed

Calculated values
electronic total energy	-4.28	eV/atom
DOS at the Fermi energy	18.66	states/eV per cell
crystal system	trigonal
formation energy	0.122	eV/atom

abc: 6.6591 6.6591 12.6967
angles: 74.80 74.80 60.00
Sites, in units of the cell vectors:
Pr1 0.7738 0.2804 0.6654
Pr2 0.7196 0.2262 0.3346
Pr3 0.2804 0.2804 0.6654
Pr4 0.2804 0.7738 0.6654
Pr5 0.2262 0.7196 0.3346
Pr6 0.7155 0.7155 0.8534
Pr7 0.2845 0.2845 0.1466
Pr8 0.7196 0.7196 0.3346
Pm1 0.8094 0.8094 0.5719
Pm2 0.0000 0.0000 0.0000
Pm3 0.1906 0.1906 0.4281
Tl1 0.3695 0.3695 0.8916
Tl2 0.6305 0.6305 0.1084


AcAg2Hg2 | PBE | relaxed

Calculated values
electronic total energy	-2.33	eV/atom
DOS at the Fermi energy	2.92	states/eV per cell
crystal system	monoclinic
formation energy	-0.252	eV/atom

abc: 5.4314 5.4314 5.4484
angles: 70.18 70.18 58.24
Sites, in units of the cell vectors:
Hg1 0.7405 0.7405 0.1788
Hg2 0.2595 0.2595 0.8212
Ag1 0.6181 0.6181 0.7549
Ag2 0.3819 0.3819 0.2451
Ac1 0.0000 0.0000 0.5000


K2Er2ZrS6 | PBE | relaxed

Calculated values
electronic total energy	-5.87	eV/atom
DOS at the Fermi energy	0.00	states/eV per cell
crystal system	monoclinic
raw formation energy	-1808	meV per atom

abc: 6.7407 6.7407 7.8781
angles: 98.39 98.39 119.66
Sites, in units of the cell vectors:
K1 0.1690 0.8310 0.0000
K2 0.8310 0.1690 0.0000
Er1 0.3335 0.6665 0.5000
Er2 0.6665 0.3335 0.5000
S1 0.7469 0.7469 0.6931
S2 0.0653 0.3862 0.6940
S3 0.3862 0.0653 0.6940
S4 0.9347 0.6138 0.3060
S5 0.2531 0.2531 0.3069
S6 0.6138 0.9347 0.3060
Zr1 0.0000 0.0000 0.5000


CeTaGa3 | PBE | relaxed

Calculated values
electronic total energy	-5.75	eV/atom
DOS at the Fermi energy	11.51	states/eV per cell
crystal system	hexagonal
formation energy	-0.379	eV/atom

abc: 5.8204 6.3811 6.3811
angles: 120.00 90.00 90.00
Sites, in units of the cell vectors:
Ga1 0.7500 0.8007 0.6013
Ga2 0.2500 0.1993 0.8007
Ga3 0.2500 0.6013 0.8007
Ga4 0.2500 0.1993 0.3987
Ga5 0.7500 0.8007 0.1993
Ga6 0.7500 0.3987 0.1993
Ce1 0.2500 0.6667 0.3333
Ce2 0.7500 0.3333 0.6667
Ta1 0.0000 0.0000 0.0000
Ta2 0.5000 0.0000 0.0000


KRb3Ag | PBE | relaxed

Calculated values
electronic total energy	-1.34	eV/atom
DOS at the Fermi energy	12.50	states/eV per cell
crystal system	tetragonal
formation energy	0.030	eV/atom

abc: 5.3079 15.5870 15.5870
angles: 90.00 90.00 90.00
Sites, in units of the cell vectors:
Rb1 0.5000 0.5989 0.4011
Rb2 0.5000 0.4011 0.5989
Rb3 0.5000 0.0003 0.3169
Rb4 0.0000 0.0989 0.0989
Rb5 0.5000 0.9997 0.6831
Rb6 0.0000 0.5003 0.1831
Rb7 0.0000 0.8169 0.4997
Rb8 0.5000 0.6831 0.9997
Rb9 0.0000 0.1831 0.5003
Rb10 0.0000 0.4997 0.8169
Rb11 0.0000 0.9011 0.9011
Rb12 0.5000 0.3169 0.0003
Ag1 0.5000 0.0660 0.9340
Ag2 0.5000 0.9340 0.0660
Ag3 0.0000 0.5660 0.5660
Ag4 0.0000 0.4340 0.4340
K1 0.5000 0.6830 0.6830
K2 0.0000 0.8170 0.1830
K3 0.5000 0.3170 0.3170
K4 0.0000 0.1830 0.8170


Pr6Nd2SmMg | PBE | relaxed

Calculated values
electronic total energy	-4.35	eV/atom
DOS at the Fermi energy	28.36	states/eV per cell
crystal system	monoclinic
formation energy	0.098	eV/atom

abc: 9.6224 8.7438 8.7438
angles: 105.58 96.13 96.13
Sites, in units of the cell vectors:
Pr1 0.0750 0.0795 0.7383
Pr2 0.9250 0.9205 0.2617
Pr3 0.1740 0.5379 0.9678
Pr4 0.4045 0.5651 0.3292
Pr5 0.5955 0.4349 0.6708
Pr6 0.8260 0.4621 0.0322
Pr7 0.0955 0.6708 0.4349
Pr8 0.9045 0.3292 0.5651
Pr9 0.3260 0.0322 0.4621
Pr10 0.6740 0.9678 0.5379
Pr11 0.5750 0.7383 0.0795
Pr12 0.4250 0.2617 0.9205
Nd1 0.5922 0.2025 0.2671
Nd2 0.9078 0.7329 0.7975
Nd3 0.0922 0.2671 0.2025
Nd4 0.4078 0.7975 0.7329
Mg1 0.7500 0.5992 0.4008
Mg2 0.2500 0.4008 0.5992
Sm1 0.7500 0.0643 0.9357
Sm2 0.2500 0.9357 0.0643


SmBeCuSi2 | PBE | relaxed

Calculated values
electronic total energy	-5.16	eV/atom
DOS at the Fermi energy	1.52	states/eV per cell
crystal system	tetragonal
raw formation energy	-485	meV per atom

abc: 3.9927 3.9927 5.6732
angles: 110.60 110.60 90.00
Sites, in units of the cell vectors:
Si1 0.3783 0.3783 0.7565
Si2 0.6217 0.6217 0.2435
Cu1 0.7500 0.2500 0.5000
Sm1 0.0000 0.0000 0.0000
Be1 0.2500 0.7500 0.5000


Y2FeCo | PBE | relaxed

Calculated values
electronic total energy	-7.25	eV/atom
DOS at the Fermi energy	3.45	states/eV per cell
crystal system	trigonal
formation energy	-0.128	eV/atom

abc: 7.3298 7.3298 7.3298
angles: 30.71 30.71 30.71
Sites, in units of the cell vectors:
Fe1 0.7942 0.7942 0.7942
Y1 0.0353 0.0353 0.0353
Y2 0.2149 0.2149 0.2149
Co1 0.4556 0.4556 0.4556


YCd2Cl | PBE | relaxed

Calculated values
electronic total energy	-2.94	eV/atom
DOS at the Fermi energy	2.10	states/eV per cell
crystal system	trigonal
raw formation energy	-409	meV per atom

abc: 9.5831 9.5831 9.5831
angles: 21.54 21.54 21.54
Sites, in units of the cell vectors:
Cd1 0.5073 0.5073 0.5073
Cd2 0.9927 0.9927 0.9927
Cl1 0.2500 0.2500 0.2500
Y1 0.7500 0.7500 0.7500


Zr2NiBi | PBE | relaxed

Calculated values
electronic total energy	-6.77	eV/atom
DOS at the Fermi energy	6.35	states/eV per cell
crystal system	tetragonal
formation energy	-0.085	eV/atom

abc: 7.6013 7.6013 6.1587
angles: 51.89 51.89 90.00
Sites, in units of the cell vectors:
Ni1 0.2500 0.7500 0.5000
Ni2 0.5000 0.5000 0.0000
Zr1 0.3750 0.4241 0.7500
Zr2 0.8750 0.8259 0.7500
Zr3 0.5759 0.1250 0.2500
Zr4 0.1741 0.6250 0.2500
Bi1 0.7500 0.2500 0.5000
Bi2 0.0000 0.0000 0.0000


CaBeRe4 | PBE | relaxed

Calculated values
electronic total energy	-8.71	eV/atom
DOS at the Fermi energy	4.72	states/eV per cell
crystal system	cubic
formation energy	0.546	eV/atom

abc: 5.2695 5.2695 5.2695
angles: 60.00 60.00 60.00
Sites, in units of the cell vectors:
Ca1 0.0000 0.0000 0.0000
Re1 0.3757 0.3757 0.3757
Re2 0.3757 0.3757 0.8728
Re3 0.8728 0.3757 0.3757
Re4 0.3757 0.8728 0.3757
Be1 0.7500 0.7500 0.7500


ZnCd2Te | PBE | relaxed

Calculated values
electronic total energy	-1.50	eV/atom
DOS at the Fermi energy	2.53	states/eV per cell
crystal system	tetragonal
raw formation energy	57	meV per atom

abc: 7.7816 7.7816 6.4998
angles: 53.23 53.23 90.00
Sites, in units of the cell vectors:
Cd1 0.1412 0.6250 0.2500
Cd2 0.8750 0.8588 0.7500
Cd3 0.6088 0.1250 0.2500
Cd4 0.3750 0.3912 0.7500
Zn1 0.2500 0.7500 0.5000
Zn2 0.5000 0.5000 0.0000
Te1 0.7500 0.2500 0.5000
Te2 0.0000 0.0000 0.0000


Mn2InW | PBE | relaxed

Calculated values
electronic total energy	-8.13	eV/atom
DOS at the Fermi energy	3.37	states/eV per cell
crystal system	monoclinic
formation energy	0.381	eV/atom

abc: 4.0887 2.7945 5.7924
angles: 71.11 90.00 90.00
Sites, in units of the cell vectors:
Mn1 0.0000 0.0266 0.0210
Mn2 0.5000 0.2574 0.2588
W1 0.0000 0.4719 0.4552
In1 0.5000 0.7441 0.7650


Li5IrO4 | PBE | relaxed

Calculated values
electronic total energy	-5.22	eV/atom
DOS at the Fermi energy	4.62	states/eV per cell
crystal system	orthorhombic
raw formation energy	-1391	meV per atom

abc: 3.2950 7.9444 7.4119
angles: 90.00 90.00 90.00
Sites, in units of the cell vectors:
O1 0.2500 0.7585 0.5000
O2 0.7500 0.7415 0.0000
O3 0.7500 0.2586 0.0000
O4 0.2501 0.5000 0.2365
O5 0.7499 0.0000 0.2635
O6 0.7499 0.0000 0.7365
O7 0.2500 0.2414 0.5000
O8 0.2501 0.5000 0.7635
Li1 0.2500 0.7281 0.8544
Li2 0.7500 0.2281 0.3544
Li3 0.2501 0.0000 0.5000
Li4 0.7500 0.2281 0.6456
Li5 0.7499 0.5000 0.0000
Li6 0.2500 0.7281 0.1456
Li7 0.7500 0.7719 0.6456
Li8 0.2500 0.2719 0.1456
Li9 0.2500 0.2719 0.8544
Li10 0.7500 0.7719 0.3544
Ir1 0.7500 0.0000 0.0000
Ir2 0.2500 0.5000 0.5000


Sc6As2S | PBE | relaxed

Calculated values
electronic total energy	-6.79	eV/atom
DOS at the Fermi energy	9.46	states/eV per cell
crystal system	monoclinic
raw formation energy	-1079	meV per atom

abc: 3.7536 5.9528 8.6697
angles: 89.85 90.00 108.38
Sites, in units of the cell vectors:
As1 0.2477 0.4955 0.2485
As2 0.7523 0.5045 0.7515
S1 0.5000 0.0000 0.5000
Sc1 0.1428 0.2857 0.5586
Sc2 0.5663 0.1325 0.2239
Sc3 0.8572 0.7143 0.4414
Sc4 0.8583 0.7166 0.0533
Sc5 0.4337 0.8675 0.7761
Sc6 0.1417 0.2834 0.9467


Ta2AlAuCl | PBE | relaxed

Calculated values
electronic total energy	-4.81	eV/atom
DOS at the Fermi energy	4.06	states/eV per cell
crystal system	tetragonal
raw formation energy	1702	meV per atom

abc: 5.1131 4.7550 5.1131
angles: 90.00 90.00 90.00
Sites, in units of the cell vectors:
Cl1 0.0000 0.5000 0.0000
Au1 0.0000 0.0000 0.0000
Al1 0.5000 0.5000 0.5000
Ta1 0.0000 0.0000 0.5000
Ta2 0.5000 0.0000 0.0000


Zr2TaP | PBE | relaxed

Calculated values
electronic total energy	-8.99	eV/atom
DOS at the Fermi energy	3.26	states/eV per cell
crystal system	tetragonal
formation energy	-0.404	eV/atom

abc: 3.4261 3.4261 6.3926
angles: 90.00 90.00 90.00
Sites, in units of the cell vectors:
Zr1 0.5000 0.5000 0.2823
Zr2 0.0000 0.0000 0.9850
Ta1 0.5000 0.5000 0.7081
P1 0.0000 0.0000 0.5246


Tb2Tm2Th | PBE | relaxed

Calculated values
electronic total energy	-4.71	eV/atom
DOS at the Fermi energy	8.41	states/eV per cell
crystal system	tetragonal
formation energy	0.416	eV/atom

abc: 4.4814 4.4814 8.7671
angles: 104.81 104.81 90.00
Sites, in units of the cell vectors:
Tb1 0.2500 0.7500 0.5000
Tb2 0.7500 0.2500 0.5000
Tm1 0.4060 0.4060 0.8121
Tm2 0.5940 0.5940 0.1879
Th1 0.0000 0.0000 0.0000